Density functional theory data (GGA-PBE) for crystalline KCe2TcN4 at its relaxed geometry.

Geometry as POSCAR:
```
KCe2TcN4
1.0
1.763 -6.313 0.000
1.763 6.313 0.000
0.000 0.000 12.323
K Ce Tc N
2 4 2 8
Direct
0.076 0.924 0.750
0.924 0.076 0.250
0.368 0.632 0.544
0.368 0.632 0.956
0.632 0.368 0.044
0.632 0.368 0.456
0.190 0.810 0.250
0.810 0.190 0.750
0.000 0.000 0.000
0.000 0.000 0.500
0.246 0.754 0.101
0.246 0.754 0.399
0.382 0.618 0.750
0.618 0.382 0.250
0.754 0.246 0.601
0.754 0.246 0.899
```

Results
* energy relative to the elements, uncorrected: -833.5 meV/atom
* total magnetization: 0.070 μB per atom
* symmetry: Cmcm (63)
* total DFT energy (no corrections): -7.913 eV/atom